Sc2MnTeO8 | GGA+U | relaxed

Structure (extended XYZ):
```
12
Lattice="3.2817 -3.4485 0.0000 3.2817 3.4485 0.0000 0.0000 0.0000 6.1965" Properties=species:S:1:pos:R:3 pbc="T T T"
Sc 0.0000 0.0000 1.4910
Sc 0.0000 0.0000 4.7054
Mn 3.2817 0.0000 0.0000
Te 3.2817 0.0000 3.0982
O 1.3576 0.0000 3.0982
O 1.3782 0.0000 0.0000
O 3.2817 1.2564 1.5723
O 3.2817 1.2564 4.6242
O 3.2817 -1.2564 1.5723
O 3.2817 -1.2564 4.6242
O 5.1852 0.0000 0.0000
O 5.2058 0.0000 3.0982
```

Calculated volume, Å³/atom: 11.69
SG: Cmmm (65)
DFT total energy, eV per atom: -7.3612